# 1
A relaxed Nd4CoHg3 crystal. Source: Alexandria, functional PBE-GGA.

Output
Energy of formation from the pure elements = -0.33 eV per atom
Space group = P4/mmm

Cell: 3.6760 3.6760 15.6547 Å, 90.00 90.00 90.00°
Last column: nearest neighbours and their distance in Å.
Sites, in units of the cell vectors:
Nd: 0.0000 0.0000 0.1058  4 Co 3.08, 1 Nd 3.31, 4 Hg 3.35
Nd: 0.0000 0.0000 0.3695  8 Hg 3.29-3.31, 4 Nd 3.68
Nd: 0.0000 0.0000 0.6305  8 Hg 3.29-3.31, 4 Nd 3.68
Nd: 0.0000 0.0000 0.8942  4 Co 3.08, 1 Nd 3.31, 4 Hg 3.35
Co: 0.5000 0.5000 0.0000  8 Nd 3.08
Hg: 0.5000 0.5000 0.2408  8 Nd 3.29-3.35, 4 Hg 3.68
Hg: 0.5000 0.5000 0.5000  8 Nd 3.31, 4 Hg 3.68
Hg: 0.5000 0.5000 0.7592  8 Nd 3.29-3.35, 4 Hg 3.68

# 2
A relaxed Nd4CoHg2 crystal. Source: Alexandria, functional PBE-GGA.

Output
Energy of formation from the pure elements = -0.17 eV per atom
Space group = I4/mmm
Offset from the most stable computed form = 0.0451 eV per atom

Cell: 8.6754 8.6754 8.6754 Å, 144.96 144.96 50.39°
Last column: nearest neighbours and their distance in Å.
Sites, in units of the cell vectors:
Nd: 0.0000 0.5000 0.5000  2 Co 2.61
Nd: 0.1781 0.1781 0.0000  1 Co 2.80, 1 Hg 3.05
Nd: 0.5000 0.0000 0.5000  2 Co 2.61
Nd: 0.8219 0.8219 0.0000  1 Co 2.80, 1 Hg 3.05
Co: 0.0000 0.0000 0.0000  6 Nd 2.61-2.80
Hg: 0.3726 0.3726 0.0000  5 Nd 3.05-3.29
Hg: 0.6274 0.6274 0.0000  5 Nd 3.05-3.29

# 3
A relaxed Nd2CoHg crystal. Source: Alexandria, functional PBE-GGA.

Output
Energy of formation from the pure elements = -0.13 eV per atom
Space group = Fm-3m
Offset from the most stable computed form = 0.0832 eV per atom

Cell: 5.2069 5.2069 5.2069 Å, 60.00 60.00 60.00°
Last column: nearest neighbours and their distance in Å.
Sites, in units of the cell vectors:
Nd: 0.2500 0.2500 0.2500  4 Hg 3.19, 4 Co 3.19
Nd: 0.7500 0.7500 0.7500  4 Hg 3.19, 4 Co 3.19
Co: 0.0000 0.0000 0.0000  8 Nd 3.19
Hg: 0.5000 0.5000 0.5000  8 Nd 3.19

# 4
A relaxed Nd8CoHg2 crystal. Source: Alexandria, functional PBE-GGA.

Output
Energy of formation from the pure elements = -0.15 eV per atom
Space group = Cm
Offset from the most stable computed form = 0.0087 eV per atom

Cell: 9.0210 9.0210 6.3782 Å, 103.91 103.91 128.46°
Last column: nearest neighbours and their distance in Å.
Sites, in units of the cell vectors:
Nd: 0.0000 0.0000 0.0000  1 Co 2.66
Nd: 0.1247 0.9042 0.4925  1 Co 2.81
Nd: 0.3705 0.5914 0.1204  1 Co 2.80
Nd: 0.4631 0.4631 0.6051  1 Co 2.61
Nd: 0.5520 0.9462 0.7919  4 Hg 3.43-3.55, 5 Nd 3.60-3.79, 1 Co 3.68
Nd: 0.5914 0.3705 0.1204  1 Co 2.80
Nd: 0.9042 0.1247 0.4925  1 Co 2.81
Nd: 0.9462 0.5520 0.7919  4 Hg 3.43-3.55, 5 Nd 3.60-3.79, 1 Co 3.68
Co: 0.7421 0.7421 0.5018  6 Nd 2.61-2.81
Hg: 0.0296 0.4598 0.2980  7 Nd 3.15-3.45
Hg: 0.4598 0.0296 0.2980  7 Nd 3.15-3.45

# 5
A relaxed Nd6CoHg crystal. Source: Alexandria, functional PBE-GGA.

Output
Energy of formation from the pure elements = -0.01 eV per atom
Space group = C2/m

Cell: 6.5496 6.5496 6.5144 Å, 99.03 99.03 107.12°
Last column: nearest neighbours and their distance in Å.
Sites, in units of the cell vectors:
Nd: 0.0530 0.6789 0.7250  1 Co 2.68
Nd: 0.2725 0.2725 0.8429  1 Co 2.59
Nd: 0.3211 0.9470 0.2750  1 Co 2.68
Nd: 0.6789 0.0530 0.7250  1 Co 2.68
Nd: 0.7275 0.7275 0.1571  1 Co 2.59
Nd: 0.9470 0.3211 0.2750  1 Co 2.68
Co: 0.0000 0.0000 0.0000  6 Nd 2.59-2.68
Hg: 0.5000 0.5000 0.5000  6 Nd 3.20-3.45

# 6
A relaxed Nd4Co2Hg crystal. Source: Alexandria, functional PBE-GGA.

Output
Energy of formation from the pure elements = -0.01 eV per atom
Space group = Cmcm

Cell: 5.7319 5.7319 19.0547 Å, 90.00 90.00 138.83°
Last column: nearest neighbours and their distance in Å.
Sites, in units of the cell vectors:
Nd: 0.0000 0.0000 0.0000  6 Co 3.06-3.10
Nd: 0.0000 0.0000 0.5000  6 Co 3.06-3.10
Nd: 0.2855 0.7145 0.6257  3 Co 2.75-2.96
Nd: 0.2855 0.7145 0.8743  3 Co 2.75-2.96
Nd: 0.4164 0.5836 0.2500  3 Hg 3.05-3.08
Nd: 0.5836 0.4164 0.7500  3 Hg 3.05-3.08
Nd: 0.7145 0.2855 0.1257  3 Co 2.75-2.96
Nd: 0.7145 0.2855 0.3743  3 Co 2.75-2.96
Co: 0.2828 0.7172 0.0185  2 Co 2.25
Co: 0.2828 0.7172 0.4815  2 Co 2.25
Co: 0.7172 0.2828 0.5185  2 Co 2.25
Co: 0.7172 0.2828 0.9815  2 Co 2.25
Hg: 0.1291 0.8709 0.2500  7 Nd 3.05-3.24
Hg: 0.8709 0.1291 0.7500  7 Nd 3.05-3.24

# 7
A relaxed Nd3Co2Hg crystal. Source: Alexandria, functional PBE-GGA.

Output
Energy of formation from the pure elements = -0.15 eV per atom
Space group = Pmc2_1

Cell: 3.9469 9.7093 8.0208 Å, 90.00 90.00 90.00°
Last column: nearest neighbours and their distance in Å.
Sites, in units of the cell vectors:
Nd: 0.0000 0.0780 0.0000  6 Co 2.83-3.05
Nd: 0.0000 0.9220 0.5000  6 Co 2.83-3.05
Nd: 0.5000 0.2324 0.3779  3 Co 3.00-3.03, 2 Hg 3.31
Nd: 0.5000 0.3742 0.8094  3 Co 2.92-2.97, 4 Hg 3.21-3.25
Nd: 0.5000 0.6258 0.3094  3 Co 2.92-2.97, 4 Hg 3.21-3.25
Nd: 0.5000 0.7676 0.8779  3 Co 3.00-3.03, 2 Hg 3.31
Co: 0.0000 0.1849 0.6533  2 Co 2.25
Co: 0.0000 0.8151 0.1533  2 Co 2.25
Co: 0.5000 0.0845 0.7099  2 Co 2.25
Co: 0.5000 0.9155 0.2099  2 Co 2.25
Hg: 0.0000 0.4125 0.1281  7 Nd 3.21-3.41
Hg: 0.0000 0.5875 0.6281  7 Nd 3.21-3.41

# 8
A relaxed Nd12Co5Hg3 crystal. Source: Alexandria, functional PBE-GGA.

Output
Energy of formation from the pure elements = 0.08 eV per atom
Space group = Ia-3d

Cell: 14.6829 14.6829 14.6829 Å, 109.47 109.47 109.47°
Last column: nearest neighbours and their distance in Å.
Sites, in units of the cell vectors:
Nd: 0.0277 0.2051 0.1190  2 Co 2.56-2.74
Nd: 0.0277 0.3226 0.9087  2 Co 2.56-2.74
Nd: 0.0861 0.7051 0.6774  2 Co 2.56-2.74
Nd: 0.0861 0.8810 0.4087  2 Co 2.56-2.74
Nd: 0.0913 0.6190 0.4139  2 Co 2.56-2.74
Nd: 0.0913 0.9723 0.6774  2 Co 2.56-2.74
Nd: 0.1190 0.0277 0.2051  2 Co 2.56-2.74
Nd: 0.1190 0.5913 0.9139  2 Co 2.56-2.74
Nd: 0.1774 0.2051 0.5861  2 Co 2.56-2.74
Nd: 0.1774 0.4723 0.5913  2 Co 2.56-2.74
Nd: 0.2051 0.1190 0.0277  2 Co 2.56-2.74
Nd: 0.2051 0.5861 0.1774  2 Co 2.56-2.74
Nd: 0.2949 0.3226 0.9139  2 Co 2.56-2.74
Nd: 0.2949 0.4723 0.3810  2 Co 2.56-2.74
Nd: 0.3226 0.9087 0.0277  2 Co 2.56-2.74
Nd: 0.3226 0.9139 0.2949  2 Co 2.56-2.74
Nd: 0.3810 0.2949 0.4723  2 Co 2.56-2.74
Nd: 0.3810 0.5861 0.9087  2 Co 2.56-2.74
Nd: 0.4087 0.0861 0.8810  2 Co 2.56-2.74
Nd: 0.4087 0.8226 0.5277  2 Co 2.56-2.74
Nd: 0.4139 0.0913 0.6190  2 Co 2.56-2.74
Nd: 0.4139 0.8226 0.7949  2 Co 2.56-2.74
Nd: 0.4723 0.3810 0.2949  2 Co 2.56-2.74
Nd: 0.4723 0.5913 0.1774  2 Co 2.56-2.74
Nd: 0.5277 0.4087 0.8226  2 Co 2.56-2.74
Nd: 0.5277 0.6190 0.7051  2 Co 2.56-2.74
Nd: 0.5861 0.1774 0.2051  2 Co 2.56-2.74
Nd: 0.5861 0.9087 0.3810  2 Co 2.56-2.74
Nd: 0.5913 0.1774 0.4723  2 Co 2.56-2.74
Nd: 0.5913 0.9139 0.1190  2 Co 2.56-2.74
Nd: 0.6190 0.4139 0.0913  2 Co 2.56-2.74
Nd: 0.6190 0.7051 0.5277  2 Co 2.56-2.74
Nd: 0.6774 0.0861 0.7051  2 Co 2.56-2.74
Nd: 0.6774 0.0913 0.9723  2 Co 2.56-2.74
Nd: 0.7051 0.5277 0.6190  2 Co 2.56-2.74
Nd: 0.7051 0.6774 0.0861  2 Co 2.56-2.74
Nd: 0.7949 0.4139 0.8226  2 Co 2.56-2.74
Nd: 0.7949 0.8810 0.9723  2 Co 2.56-2.74
Nd: 0.8226 0.5277 0.4087  2 Co 2.56-2.74
Nd: 0.8226 0.7949 0.4139  2 Co 2.56-2.74
Nd: 0.8810 0.4087 0.0861  2 Co 2.56-2.74
Nd: 0.8810 0.9723 0.7949  2 Co 2.56-2.74
Nd: 0.9087 0.0277 0.3226  2 Co 2.56-2.74
Nd: 0.9087 0.3810 0.5861  2 Co 2.56-2.74
Nd: 0.9139 0.1190 0.5913  2 Co 2.56-2.74
Nd: 0.9139 0.2949 0.3226  2 Co 2.56-2.74
Nd: 0.9723 0.6774 0.0913  2 Co 2.56-2.74
Nd: 0.9723 0.7949 0.8810  2 Co 2.56-2.74
Co: 0.0000 0.0000 0.0000  6 Nd 2.74
Co: 0.0000 0.0000 0.5000  6 Nd 2.74
Co: 0.0000 0.5000 0.0000  6 Nd 2.74
Co: 0.0000 0.5000 0.5000  6 Nd 2.74
Co: 0.1250 0.7500 0.8750  4 Nd 2.56
Co: 0.1250 0.8750 0.2500  4 Nd 2.56
Co: 0.2500 0.1250 0.8750  4 Nd 2.56
Co: 0.2500 0.6250 0.3750  4 Nd 2.56
Co: 0.3750 0.2500 0.6250  4 Nd 2.56
Co: 0.3750 0.6250 0.7500  4 Nd 2.56
Co: 0.5000 0.0000 0.0000  6 Nd 2.74
Co: 0.5000 0.0000 0.5000  6 Nd 2.74
Co: 0.5000 0.5000 0.0000  6 Nd 2.74
Co: 0.5000 0.5000 0.5000  6 Nd 2.74
Co: 0.6250 0.3750 0.2500  4 Nd 2.56
Co: 0.6250 0.7500 0.3750  4 Nd 2.56
Co: 0.7500 0.3750 0.6250  4 Nd 2.56
Co: 0.7500 0.8750 0.1250  4 Nd 2.56
Co: 0.8750 0.1250 0.7500  4 Nd 2.56
Co: 0.8750 0.2500 0.1250  4 Nd 2.56
Hg: 0.1250 0.2500 0.3750  8 Nd 3.28-3.33
Hg: 0.1250 0.3750 0.7500  8 Nd 3.28-3.33
Hg: 0.2500 0.3750 0.1250  8 Nd 3.28-3.33
Hg: 0.2500 0.8750 0.6250  8 Nd 3.28-3.33
Hg: 0.3750 0.1250 0.2500  8 Nd 3.28-3.33
Hg: 0.3750 0.7500 0.1250  8 Nd 3.28-3.33
Hg: 0.6250 0.2500 0.8750  8 Nd 3.28-3.33
Hg: 0.6250 0.8750 0.7500  8 Nd 3.28-3.33
Hg: 0.7500 0.1250 0.3750  8 Nd 3.28-3.33
Hg: 0.7500 0.6250 0.8750  8 Nd 3.28-3.33
Hg: 0.8750 0.6250 0.2500  8 Nd 3.28-3.33
Hg: 0.8750 0.7500 0.6250  8 Nd 3.28-3.33

# 9
A relaxed Nd6CoHg2 crystal. Source: Alexandria, functional PBE-GGA.

Output
Energy of formation from the pure elements = -0.20 eV per atom
Space group = P2_1/c

Cell: 7.2135 7.3398 12.5901 Å, 90.00 123.90 90.00°
Last column: nearest neighbours and their distance in Å.
Sites, in units of the cell vectors:
Nd: 0.1509 0.0022 0.2494  1 Co 2.69
Nd: 0.1509 0.4978 0.7494  1 Co 2.69
Nd: 0.2484 0.7012 0.0463  1 Co 2.68
Nd: 0.2484 0.7988 0.5463  1 Co 2.68
Nd: 0.3417 0.2056 0.0442  1 Co 2.67
Nd: 0.3417 0.2944 0.5442  1 Co 2.67
Nd: 0.6583 0.7056 0.4558  1 Co 2.67
Nd: 0.6583 0.7944 0.9558  1 Co 2.67
Nd: 0.7516 0.2012 0.4537  1 Co 2.68
Nd: 0.7516 0.2988 0.9537  1 Co 2.68
Nd: 0.8491 0.5022 0.2506  1 Co 2.69
Nd: 0.8491 0.9978 0.7506  1 Co 2.69
Co: 0.0000 0.0000 0.0000  6 Nd 2.67-2.69
Co: 0.0000 0.5000 0.5000  6 Nd 2.67-2.69
Hg: 0.2836 0.0703 0.7562  6 Nd 3.14-3.35
Hg: 0.2836 0.4297 0.2562  6 Nd 3.14-3.35
Hg: 0.7164 0.5703 0.7438  6 Nd 3.14-3.35
Hg: 0.7164 0.9297 0.2438  6 Nd 3.14-3.35

# 10
A relaxed NdCoHg crystal. Source: Alexandria, functional PBE-GGA.

Output
Energy of formation from the pure elements = -0.28 eV per atom
Space group = Cmcm

Cell: 8.5981 8.5981 3.9347 Å, 90.00 90.00 152.53°
Last column: nearest neighbours and their distance in Å.
Sites, in units of the cell vectors:
Nd: 0.0980 0.9020 0.7500  6 Co 2.99-3.04, 4 Hg 3.32
Nd: 0.9020 0.0980 0.2500  6 Co 2.99-3.04, 4 Hg 3.32
Co: 0.4674 0.5326 0.7500  2 Co 2.25
Co: 0.5326 0.4674 0.2500  2 Co 2.25
Hg: 0.2989 0.7011 0.7500  1 Co 2.81
Hg: 0.7011 0.2989 0.2500  1 Co 2.81